{
  "formula": "Sc3CdN",
  "functional": "SCAN",
  "state": "PBEsol geometry",
  "lattice": [[-1.3604, -1.7339, -4.6056], [-2.3745, -3.9540, 2.1900], [-4.3104, 2.7254, 0.2471]],
  "species": ["Cd", "Sc", "Sc", "Sc", "N"],
  "fractional_positions": [[0.0000, 0.0000, 0.0000], [0.5000, 0.0000, 0.0000], [0.0000, 0.5000, 0.0000], [0.0000, 0.0000, 0.5000], [0.5000, 0.5000, 0.5000]],
  "spacegroup": "Pm-3m",
  "magnetic_moment_mub_per_cell": 0.00,
  "e_form_raw_ev_per_atom": 1.348
}



{
  "formula": "ScRu2Br",
  "functional": "SCAN",
  "state": "PBEsol geometry",
  "lattice": [[3.0369, 0.0000, 0.0000], [0.0000, 3.3925, 0.0000], [-1.5185, 0.0000, 6.8582]],
  "species": ["Ru", "Ru", "Br", "Sc"],
  "fractional_positions": [[0.5746, 0.5000, 0.1492], [0.1510, 0.0000, 0.3019], [0.3221, 0.5000, 0.6441], [0.9481, 0.0000, 0.8961]],
  "spacegroup": "Amm2",
  "magnetic_moment_mub_per_cell": 0.00,
  "e_form_raw_ev_per_atom": -0.131
}



{
  "formula": "RbNa2Ga",
  "functional": "SCAN",
  "state": "PBEsol geometry",
  "lattice": [[-2.0056, -4.6671, -0.4184], [0.5905, -0.7033, 5.0136], [-9.8350, 7.0495, -0.4436]],
  "species": ["Rb", "Rb", "Na", "Na", "Na", "Na", "Ga", "Ga"],
  "fractional_positions": [[0.0000, 0.0000, 0.0000], [0.2500, 0.7500, 0.5000], [0.8108, 0.3750, 0.2500], [0.4392, 0.8750, 0.2500], [0.1250, 0.1892, 0.7500], [0.6250, 0.5608, 0.7500], [0.7500, 0.2500, 0.5000], [0.5000, 0.5000, 0.0000]],
  "spacegroup": "I-42d",
  "magnetic_moment_mub_per_cell": 0.31,
  "final_energy_ev_per_atom": -11.15
}



{
  "formula": "MgZn8",
  "functional": "SCAN",
  "state": "PBEsol geometry",
  "lattice": [[-2.3373, 3.0857, 0.1259], [-1.8497, 1.2643, -5.7548], [-5.7947, -1.9902, 0.7736]],
  "species": ["Zn", "Zn", "Zn", "Zn", "Zn", "Zn", "Zn", "Zn", "Mg"],
  "fractional_positions": [[0.6723, 0.6553, 0.0000], [0.0000, 0.6617, 0.3383], [0.3277, 0.0000, 0.3447], [0.3277, 0.3447, 0.0000], [0.6723, 0.0000, 0.6553], [0.6617, 0.3383, 0.3383], [0.3383, 0.6617, 0.6617], [0.0000, 0.3383, 0.6617], [0.0000, 0.0000, 0.0000]],
  "spacegroup": "I4/mmm",
  "magnetic_moment_mub_per_cell": 0.00,
  "final_energy_ev_per_atom": -12.58
}



{
  "formula": "TaBeOs2",
  "functional": "SCAN",
  "state": "PBEsol geometry",
  "lattice": [[-1.4665, 2.4666, 0.3136], [-3.6763, -1.9772, -1.6410], [1.4750, -1.3833, 4.4920]],
  "species": ["Be", "Os", "Os", "Ta"],
  "fractional_positions": [[0.0000, 0.5000, 0.0000], [0.7193, 0.7193, 0.4386], [0.2807, 0.2807, 0.5614], [0.5000, 0.0000, 0.0000]],
  "spacegroup": "Immm",
  "magnetic_moment_mub_per_cell": 0.00,
  "final_energy_ev_per_atom": -53.83
}



{
  "formula": "Re2TeRh",
  "functional": "SCAN",
  "state": "PBEsol geometry",
  "lattice": [[3.0691, 0.0000, 0.0000], [0.0000, 4.4981, 0.0000], [0.0000, 0.0000, 4.4981]],
  "species": ["Te", "Re", "Re", "Rh"],
  "fractional_positions": [[0.5000, 0.0000, 0.0000], [0.0000, 0.5000, 0.0000], [0.0000, 0.0000, 0.5000], [0.5000, 0.5000, 0.5000]],
  "spacegroup": "P4/mmm",
  "magnetic_moment_mub_per_cell": 0.00,
  "e_form_raw_ev_per_atom": 0.625
}



{
  "formula": "CaNi2Ir2",
  "functional": "SCAN",
  "state": "PBEsol geometry",
  "lattice": [[-2.3731, -2.9194, -1.5461], [-1.3096, -0.9163, 3.7404], [-1.8328, 5.1645, -1.5882]],
  "species": ["Ni", "Ni", "Ca", "Ir", "Ir"],
  "fractional_positions": [[0.2500, 0.7500, 0.5000], [0.7500, 0.2500, 0.5000], [0.0000, 0.0000, 0.0000], [0.6189, 0.6189, 0.2377], [0.3811, 0.3811, 0.7623]],
  "spacegroup": "I4/mmm",
  "magnetic_moment_mub_per_cell": 0.00,
  "final_energy_ev_per_atom": -36.91
}



{
  "formula": "La2TeW",
  "functional": "SCAN",
  "state": "PBEsol geometry",
  "lattice": [[-4.0475, -0.5420, 0.6049], [0.9085, -2.8266, 3.5463], [1.9591, 4.7085, 3.2510]],
  "species": ["La", "La", "Te", "W"],
  "fractional_positions": [[0.7305, 0.5000, 0.3360], [0.0158, 0.0000, 0.9067], [0.3049, 0.0000, 0.4847], [0.4488, 0.5000, 0.7727]],
  "spacegroup": "Amm2",
  "magnetic_moment_mub_per_cell": 0.00,
  "e_form_raw_ev_per_atom": -0.150
}



{
  "formula": "Tc3PtSe",
  "functional": "SCAN",
  "state": "PBEsol geometry",
  "lattice": [[4.4156, 0.0000, 0.0000], [0.0000, 4.4156, 0.0000], [0.0000, 0.0000, 4.4156]],
  "species": ["Tc", "Tc", "Tc", "Pt", "Se"],
  "fractional_positions": [[0.0000, 0.0000, 0.5000], [0.5000, 0.0000, 0.0000], [0.0000, 0.5000, 0.0000], [0.5000, 0.5000, 0.5000], [0.0000, 0.0000, 0.0000]],
  "spacegroup": "Pm-3m",
  "magnetic_moment_mub_per_cell": 0.00,
  "e_form_raw_ev_per_atom": 1.225
}



{
  "formula": "Sc2TeAs",
  "functional": "SCAN",
  "state": "PBEsol geometry",
  "lattice": [[4.0312, 0.0000, 0.0000], [0.0000, 4.0312, 0.0000], [-2.0156, -2.0156, 5.1137]],
  "species": ["Sc", "Sc", "Te", "As"],
  "fractional_positions": [[0.0000, 0.0000, 0.0000], [0.7500, 0.2500, 0.5000], [0.5000, 0.5000, 0.0000], [0.2500, 0.7500, 0.5000]],
  "spacegroup": "I-4m2",
  "magnetic_moment_mub_per_cell": 0.00,
  "e_form_raw_ev_per_atom": -0.861
}